1.
Compound: Sm3Dy8Er
Source: Alexandria
Functional: PBE-GGA
Structure: relaxed Values from VASP.

* N(E_F): 14.5 states/eV/f.u.
* SG: No. 8
* energy of formation from the pure elements: 15 meV/atom
* density: 8.34 g/cm3
* crystal system: monoclinic

```
&SYSTEM
  ibrav = 0, nat = 12, ntyp = 3
/
ATOMIC_SPECIES
Sm 150.36 Sm.upf
Dy 162.50 Dy.upf
Er 167.26 Er.upf
CELL_PARAMETERS angstrom
5.016 -5.034 0.000
5.016 5.034 0.000
-2.502 0.000 7.566
ATOMIC_POSITIONS crystal
Sm 0.000 0.000 0.000
Sm 0.167 0.667 0.667
Sm 0.667 0.167 0.667
Dy 0.000 0.501 0.001
Dy 0.167 0.167 0.666
Dy 0.334 0.334 0.334
Dy 0.334 0.833 0.333
Dy 0.501 0.000 0.001
Dy 0.501 0.501 0.001
Dy 0.833 0.334 0.333
Dy 0.833 0.833 0.333
Er 0.666 0.666 0.666
```


2.
Compound: Cr3GaSe
Source: Alexandria
Functional: PBE-GGA
Structure: relaxed Values from VASP.

* N(E_F): 6.5 states/eV/f.u.
* SG: No. 221
* density: 6.16 g/cm3
* crystal system: cubic
* formation energy without anion corrections: 0.938 eV per atom
* ΔE to the lowest computed polymorph: 0 meV per atom

```
&SYSTEM
  ibrav = 0, nat = 5, ntyp = 3
/
ATOMIC_SPECIES
Cr 52.00 Cr.upf
Ga 69.72 Ga.upf
Se 78.96 Se.upf
CELL_PARAMETERS angstrom
4.347 0.000 0.000
0.000 4.347 0.000
0.000 0.000 4.347
ATOMIC_POSITIONS crystal
Cr 0.000 0.000 0.500
Cr 0.000 0.500 0.000
Cr 0.500 0.000 0.000
Ga 0.500 0.500 0.500
Se 0.000 0.000 0.000
```


3.
Compound: Lu2SiAu
Source: Alexandria
Functional: PBE-GGA
Structure: relaxed Values from VASP.

* N(E_F): 1.3 states/eV/f.u.
* SG: No. 123
* density: 11.23 g/cm3
* crystal system: tetragonal
* formation energy without anion corrections: -0.693 eV per atom

```
&SYSTEM
  ibrav = 0, nat = 4, ntyp = 3
/
ATOMIC_SPECIES
Lu 174.97 Lu.upf
Si 28.09 Si.upf
Au 196.97 Au.upf
CELL_PARAMETERS angstrom
3.491 0.000 0.000
0.000 3.491 0.000
0.000 0.000 6.978
ATOMIC_POSITIONS crystal
Lu 0.000 0.000 0.243
Lu 0.000 0.000 0.757
Si 0.500 0.500 0.000
Au 0.500 0.500 0.500
```


4.
Compound: RbSm4Ga3O12
Source: Alexandria
Functional: PBE-GGA
Structure: relaxed Values from VASP.

* N(E_F): 6.4 states/eV/f.u.
* SG: No. 204
* density: 6.06 g/cm3
* crystal system: cubic
* formation energy without anion corrections: -2.309 eV per atom

```
&SYSTEM
  ibrav = 0, nat = 20, ntyp = 4
/
ATOMIC_SPECIES
Rb 85.47 Rb.upf
Sm 150.36 Sm.upf
Ga 69.72 Ga.upf
O 16.00 O.upf
CELL_PARAMETERS angstrom
-4.208 4.208 4.208
4.208 -4.208 4.208
4.208 4.208 -4.208
ATOMIC_POSITIONS crystal
Rb 0.000 0.000 0.000
Sm 0.000 0.000 0.500
Sm 0.000 0.500 0.000
Sm 0.500 0.000 0.000
Sm 0.500 0.500 0.500
Ga 0.000 0.500 0.500
Ga 0.500 0.000 0.500
Ga 0.500 0.500 0.000
O 0.156 0.490 0.334
O 0.156 0.822 0.666
O 0.178 0.334 0.844
O 0.334 0.156 0.490
O 0.334 0.844 0.178
O 0.490 0.334 0.156
O 0.510 0.666 0.844
O 0.666 0.156 0.822
O 0.666 0.844 0.510
O 0.822 0.666 0.156
O 0.844 0.178 0.334
O 0.844 0.510 0.666
```


5.
Compound: Ti2NbV
Source: Alexandria
Functional: PBE-GGA
Structure: relaxed Values from VASP.

* N(E_F): 4.7 states/eV/f.u.
* SG: No. 14
* energy of formation from the pure elements: 124 meV/atom
* density: 5.98 g/cm3
* crystal system: monoclinic
* ΔE to the lowest computed polymorph: 37 meV per atom

```
&SYSTEM
  ibrav = 0, nat = 16, ntyp = 3
/
ATOMIC_SPECIES
Ti 47.87 Ti.upf
Nb 92.91 Nb.upf
V 50.94 V.upf
CELL_PARAMETERS angstrom
9.286 0.000 0.000
0.000 5.419 0.000
-0.422 0.000 5.287
ATOMIC_POSITIONS crystal
Ti 0.123 0.128 0.117
Ti 0.123 0.372 0.617
Ti 0.351 0.630 0.396
Ti 0.351 0.870 0.896
Ti 0.649 0.130 0.104
Ti 0.649 0.370 0.604
Ti 0.877 0.628 0.383
Ti 0.877 0.872 0.883
Nb 0.382 0.126 0.374
Nb 0.382 0.374 0.874
Nb 0.618 0.626 0.126
Nb 0.618 0.874 0.626
V 0.110 0.619 0.108
V 0.110 0.881 0.608
V 0.890 0.119 0.392
V 0.890 0.381 0.892
```


6.
Compound: CsPaSbS6
Source: Alexandria
Functional: PBE-GGA
Structure: relaxed Values from VASP.

* N(E_F): 7.0 states/eV/f.u.
* SG: No. 74
* density: 3.82 g/cm3
* crystal system: orthorhombic
* formation energy without anion corrections: -0.700 eV per atom

```
&SYSTEM
  ibrav = 0, nat = 18, ntyp = 4
/
ATOMIC_SPECIES
Cs 132.91 Cs.upf
Pa 231.04 Pa.upf
Sb 121.76 Sb.upf
S 32.06 S.upf
CELL_PARAMETERS angstrom
-4.557 4.838 6.692
4.557 -4.838 6.692
4.557 4.838 -6.692
ATOMIC_POSITIONS crystal
Cs 0.378 0.128 0.250
Cs 0.622 0.872 0.750
Pa 0.000 0.500 0.500
Pa 0.500 0.500 0.000
Sb 0.000 0.000 0.500
Sb 0.000 0.500 0.000
S 0.073 0.416 0.234
S 0.073 0.839 0.657
S 0.083 0.833 0.250
S 0.318 0.161 0.734
S 0.318 0.584 0.157
S 0.325 0.575 0.750
S 0.675 0.425 0.250
S 0.682 0.416 0.843
S 0.682 0.839 0.266
S 0.917 0.167 0.750
S 0.927 0.161 0.343
S 0.927 0.584 0.766
```


7.
Compound: Li4AlPd4
Source: Alexandria
Functional: PBE-GGA
Structure: relaxed Values from VASP.

* N(E_F): 3.3 states/eV/f.u.
* SG: No. 139
* energy of formation from the pure elements: -478 meV/atom
* density: 6.28 g/cm3
* crystal system: tetragonal

```
&SYSTEM
  ibrav = 0, nat = 9, ntyp = 3
/
ATOMIC_SPECIES
Li 6.94 Li.upf
Al 26.98 Al.upf
Pd 106.42 Pd.upf
CELL_PARAMETERS angstrom
-3.928 3.928 2.059
3.928 -3.928 2.059
3.928 3.928 -2.059
ATOMIC_POSITIONS crystal
Li 0.174 0.174 0.348
Li 0.174 0.826 0.000
Li 0.826 0.174 0.000
Li 0.826 0.826 0.652
Al 0.500 0.500 0.000
Pd 0.183 0.500 0.683
Pd 0.500 0.183 0.683
Pd 0.500 0.817 0.317
Pd 0.817 0.500 0.317
```


8.
Compound: YAl
Source: Alexandria
Functional: PBE-GGA
Structure: relaxed Values from VASP.

* N(E_F): 2.3 states/eV/f.u.
* SG: No. 136
* energy of formation from the pure elements: -32 meV/atom
* density: 3.69 g/cm3
* crystal system: tetragonal

```
&SYSTEM
  ibrav = 0, nat = 8, ntyp = 2
/
ATOMIC_SPECIES
Y 88.91 Y.upf
Al 26.98 Al.upf
CELL_PARAMETERS angstrom
5.887 0.000 0.000
0.000 5.887 0.000
0.000 0.000 6.016
ATOMIC_POSITIONS crystal
Y 0.184 0.184 0.000
Y 0.316 0.684 0.500
Y 0.684 0.316 0.500
Y 0.816 0.816 0.000
Al 0.165 0.165 0.500
Al 0.335 0.665 0.000
Al 0.665 0.335 0.000
Al 0.835 0.835 0.500
```